No. 1
# HfMn2CoH

A relaxed HfMn2CoH crystal (GGA-PBE, Alexandria via LeMat-Bulk).

Cell lengths 3.8728, 3.8728, 3.8400 Å; angles 90.00, 90.00, 90.00 degrees
Last column: nearest neighbours and their distance in Å.
Sites, in units of the cell vectors:
1 H 0.0000 0.0000 0.0000  2 Co 1.92, 4 Mn 1.94
2 Co 0.0000 0.0000 0.5000  2 H 1.92
3 Mn 0.0000 0.5000 0.0000  2 H 1.94
4 Mn 0.5000 0.0000 0.0000  2 H 1.94
5 Hf 0.5000 0.5000 0.5000  8 Mn 2.73, 4 Co 2.74

Output
energy above the most stable polymorph in this dataset: 5.2 meV/atom
space group: P4/mmm (123)


No. 2
# SrRh2C

A relaxed SrRh2C crystal (GGA-PBE, Alexandria via LeMat-Bulk).

Cell lengths 3.3643, 3.3643, 7.2305 Å; angles 76.55, 76.55, 60.00 degrees
Last column: nearest neighbours and their distance in Å.
Sites, in units of the cell vectors:
1 Rh 0.2881 0.2881 0.1357  3 C 2.16
2 C 0.0000 0.0000 0.0000  6 Rh 2.16
3 Rh 0.7119 0.7119 0.8643  3 C 2.16
4 Sr 0.5000 0.5000 0.5000  6 Rh 3.20, 6 Sr 3.36

Output
space group: R-3m (166)
energy relative to the elements: 334 meV per atom


No. 3
# In2AuBr

A relaxed In2AuBr crystal (GGA-PBE, Alexandria via LeMat-Bulk).

Cell lengths 5.3259, 5.3259, 5.3259 Å; angles 60.00, 60.00, 60.00 degrees
Last column: nearest neighbours and their distance in Å.
Sites, in units of the cell vectors:
1 Br 0.7500 0.7500 0.7500  4 In 3.26, 4 Au 3.26
2 Au 0.5000 0.5000 0.5000  4 In 3.26, 4 Br 3.26
3 In 0.2500 0.2500 0.2500  4 In 3.26, 4 Au 3.26
4 In 0.0000 0.0000 0.0000  4 Br 3.26, 4 In 3.26

Output
energy above the most stable polymorph in this dataset: 360.6 meV/atom
space group: F-43m (216)
uncorrected formation energy: 0.02 eV/atom


No. 4
# LiVCd3

A relaxed LiVCd3 crystal (GGA-PBE, Alexandria via LeMat-Bulk).

Cell lengths 5.3257, 5.3257, 5.3257 Å; angles 90.00, 90.00, 90.00 degrees
Last column: nearest neighbours and their distance in Å.
Sites, in units of the cell vectors:
1 Cd 0.5000 0.0000 0.0000  2 V 2.66
2 V 0.0000 0.0000 0.0000  6 Cd 2.66
3 Cd 0.0000 0.5000 0.0000  2 V 2.66
4 Li 0.5000 0.5000 0.5000  12 Cd 3.77
5 Cd 0.0000 0.0000 0.5000  2 V 2.66

Output
energy above the most stable polymorph in this dataset: 6.5 meV/atom
space group: Pm-3m (221)
energy relative to the elements: 586 meV per atom


No. 5
# Na2SmPt6

A relaxed Na2SmPt6 crystal (GGA-PBE, Alexandria via LeMat-Bulk).

Cell lengths 6.5581, 6.5581, 6.5581 Å; angles 60.00, 60.00, 60.00 degrees
Last column: nearest neighbours and their distance in Å.
Sites, in units of the cell vectors:
1 Pt 0.2946 0.2946 0.7054  4 Pt 2.69, 1 Sm 2.73
2 Pt 0.7054 0.2946 0.7054  4 Pt 2.69, 1 Sm 2.73
3 Na 0.2500 0.2500 0.2500  12 Pt 3.31
4 Na 0.7500 0.7500 0.7500  12 Pt 3.31
5 Pt 0.2946 0.7054 0.7054  4 Pt 2.69, 1 Sm 2.73
6 Pt 0.2946 0.7054 0.2946  4 Pt 2.69, 1 Sm 2.73
7 Sm 0.0000 0.0000 0.0000  6 Pt 2.73
8 Pt 0.7054 0.7054 0.2946  4 Pt 2.69, 1 Sm 2.73
9 Pt 0.7054 0.2946 0.2946  4 Pt 2.69, 1 Sm 2.73

Output
space group: Fm-3m (225)
energy relative to the elements: 107 meV per atom


No. 6
# LiPm2TmSe5

A relaxed LiPm2TmSe5 crystal (GGA-PBE, Alexandria via LeMat-Bulk).

Cell lengths 4.1084, 8.8306, 12.3917 Å; angles 90.00, 90.00, 103.45 degrees
Last column: nearest neighbours and their distance in Å.
Sites, in units of the cell vectors:
1 Pm 0.1260 0.2520 0.2962  8 Se 2.99-3.24
2 Se 0.5000 0.0000 0.2837  1 Li 2.46
3 Tm 0.1969 0.3938 0.0030  6 Se 2.70-2.85
4 Se 0.6386 0.2773 0.4978  1 Li 2.63, 1 Tm 2.83
5 Li 0.5141 0.0283 0.9809  4 Se 2.41-2.63
6 Se 0.6925 0.3850 0.8449  2 Tm 2.84, 1 Pm 3.18
7 Tm 0.8031 0.6062 0.5030  6 Se 2.70-2.85
8 Pm 0.8740 0.7480 0.7962  8 Se 2.99-3.24
9 Li 0.4859 0.9717 0.4809  4 Se 2.41-2.63
10 Se 0.3075 0.6150 0.3449  2 Tm 2.84, 1 Pm 3.18
11 Se 0.3614 0.7227 0.9978  1 Li 2.63, 1 Tm 2.83
12 Pm 0.8929 0.7858 0.1855  8 Se 3.01-3.21
13 Se 0.5000 0.0000 0.7837  1 Li 2.46
14 Se 0.9521 0.9042 0.5716  2 Li 2.41, 1 Tm 2.70
15 Pm 0.1071 0.2142 0.6855  8 Se 3.01-3.21
16 Se 0.2845 0.5690 0.6603  2 Tm 2.85, 3 Pm 3.06-3.07
17 Se 0.0479 0.0958 0.0716  2 Li 2.41, 1 Tm 2.70
18 Se 0.7155 0.4310 0.1603  2 Tm 2.85, 3 Pm 3.06-3.07

Output
space group: Cmc2_1 (36)
uncorrected formation energy: -1.74 eV/atom